A plane-wave DFT calculation with PBE was carried out for a relaxed structure of Be2OsPb.

Cell and atoms, written as extended XYZ:
```
4
Lattice="4.386 0.000 0.000 2.193 3.798 0.000 2.193 1.266 3.581" Properties=species:S:1:pos:R:3 pbc="T T T"
Pb 2.193 1.266 0.895
Be 0.000 0.000 0.000
Os 4.386 2.532 1.790
Be 6.579 3.798 2.686
```

Values from the calculation:
Energy   -4.67 eV per atom